[1]
TaBeW2 PBE relaxed; mass density = 15.01 g/cm³; energy of formation from the pure elements = 199 meV/atom
1.0
-2.972 4.240 0.677
-2.357 -4.369 -1.621
-1.358 -0.700 2.258
W Ta Be
2 1 1
Cartesian
-2.665 -0.064 -0.472
0.000 0.000 0.000
-1.858 -2.534 0.318
-2.165 1.770 1.467

---

[2]
Y2TlSb PBE relaxed; mass density = 7.59 g/cm³; uncorrected formation energy = -0.628 eV/atom; energy above the most stable polymorph in this dataset = 125 meV/atom
1.0
6.374 -0.002 -0.012
3.251 5.483 0.012
-4.805 -2.753 3.156
Sb Tl Y
1 1 2
Cartesian
4.814 2.741 0.000
1.629 2.735 1.584
3.190 -0.008 1.572
9.624 5.480 0.000

---

[3]
LiTb2Er PBE relaxed; mass density = 7.04 g/cm³; energy above the most stable polymorph in this dataset = 68 meV/atom; energy of formation from the pure elements = 138 meV/atom
1.0
3.746 0.000 0.000
0.000 5.568 0.000
0.000 0.000 5.568
Li Tb Er
1 2 1
Cartesian
1.873 0.000 0.000
0.000 0.000 2.784
0.000 2.784 0.000
1.873 2.784 2.784

---

[4]
Ba2Cu2TeSe6 PBE relaxed; mass density = 5.39 g/cm³; uncorrected formation energy = -0.709 eV/atom
1.0
-3.852 -3.549 -3.293
2.979 -3.374 5.963
-6.272 5.396 1.522
Se Ba Cu Te
6 2 2 1
Cartesian
-1.068 -4.602 3.334
0.837 -2.846 4.963
-5.285 -0.816 1.250
-6.077 3.075 0.858
-7.982 1.319 -0.771
-1.860 -0.711 2.942
-2.858 -2.978 0.740
-4.287 1.451 3.451
-0.840 0.028 0.952
-6.305 -1.555 3.240
-5.062 0.923 -0.886